Record 1
Entry from the Alexandria database: a relaxed structure of La5TbIn2 (GGA-PBE).

a b c (Å): 7.9874 16.5697 3.8432
angles (deg): 90.00 90.00 90.00
Closest atoms and distances in Å follow each position.
Space group Pbam (No. 55)
Symmetry-distinct sites (fractional):
La  0.0000  0.0000  0.0000 (multiplicity 2)  4 La 3.39, 4 In 3.50
La  0.0135  0.2477  0.0000 (multiplicity 4)  4 La 3.34-3.50, 4 In 3.50-3.51
La  0.2248  0.8709  0.5000 (multiplicity 4)  6 La 3.34-3.50, 2 Tb 3.62
Tb  0.0000  0.5000  0.0000 (multiplicity 2)  4 In 3.33, 4 La 3.62
In  0.2327  0.6203  0.5000 (multiplicity 4)  2 Tb 3.33, 6 La 3.50-3.51

## Properties
Calculated total energy: -72.63 eV/cell
Formation energy: -197 meV/atom
N(E_F): 20.03 states/eV per cell

Record 2
Entry from the Alexandria database: a relaxed structure of ZrNiSn (GGA-PBE).

a b c (Å): 4.3123 4.3123 6.9730
angles (deg): 90.00 90.00 120.00
Closest atoms and distances in Å follow each position.
Space group P-6m2 (No. 187)
Symmetry-distinct sites (fractional):
Zr  0.0000  0.0000  0.0000 (multiplicity 1)  6 Ni 2.82, 6 Sn 3.09
Zr  0.0000  0.0000  0.5000 (multiplicity 1)  6 Sn 2.99, 6 Ni 3.30
Ni  0.3333  0.6667  0.1884 (multiplicity 2)  3 Sn 2.54, 1 Ni 2.63, 3 Zr 2.82
Sn  0.6667  0.3333  0.2632 (multiplicity 2)  3 Ni 2.54

## Properties
Calculated total energy: -39.70 eV/cell
Formation energy: -507 meV/atom
N(E_F): 1.76 states/eV per cell

Record 3
Entry from the Alexandria database: a relaxed structure of TiPbO2F (GGA-PBE).

a b c (Å): 4.3748 4.3748 4.3663
angles (deg): 90.00 90.00 90.00
Closest atoms and distances in Å follow each position.
Space group P4/mmm (No. 123)
Symmetry-distinct sites (fractional):
Ti  0.0000  0.0000  0.0000 (multiplicity 1)  8 O 3.09, 4 F 3.09
Pb  0.5000  0.5000  0.5000 (multiplicity 1)  2 F 2.18, 4 O 2.19
O  0.0000  0.5000  0.5000 (multiplicity 2)  2 Pb 2.19
F  0.5000  0.5000  0.0000 (multiplicity 1)  2 Pb 2.18

## Properties
Energy relative to the elements, uncorrected: -0.532 eV/atom
Calculated total energy: -26.05 eV/cell
N(E_F): 10.05 states/eV per cell